# 1
First-principles (PBE-GGA) data for a geometry-optimized LaTeP structure, as listed in Alexandria. Values from VASP.

* uncorrected formation energy: -114.3 kJ per mole of atoms
* D(E_F): 1.30 states/eV/f.u.
* VASP energy: -5.677 eV per atom

Cell and atoms, written as Quantum ESPRESSO input:
```
&SYSTEM
  ibrav = 0, nat = 12, ntyp = 3
/
ATOMIC_SPECIES
Te 127.60 Te.upf
P 30.97 P.upf
La 138.91 La.upf
ATOMIC_POSITIONS crystal
Te 0.912 0.188 0.967
Te 0.912 0.312 0.467
Te 0.912 0.688 0.467
Te 0.912 0.812 0.967
P 0.280 0.500 0.817
P 0.397 0.000 0.007
P 0.280 0.000 0.317
P 0.397 0.500 0.507
La 0.917 0.623 0.969
La 0.917 0.123 0.469
La 0.917 0.877 0.469
La 0.917 0.377 0.969
CELL_PARAMETERS angstrom
4.147 0.000 0.004
0.000 18.441 0.000
-4.103 0.000 4.335
```


# 2
First-principles (PBE-GGA) data for a geometry-optimized PuV2Fe structure, as listed in Alexandria. Values from VASP.

* energy above the lowest structure with this stoichiometry: 0.000 eV/atom
* calculated formation energy: 14.16 kJ per mole of atoms
* D(E_F): 6.96 states/eV/f.u.
* VASP energy: -10.111 eV per atom

Cell and atoms, written as Quantum ESPRESSO input:
```
&SYSTEM
  ibrav = 0, nat = 4, ntyp = 3
/
ATOMIC_SPECIES
Pu 244.00 Pu.upf
V 50.94 V.upf
Fe 55.84 Fe.upf
ATOMIC_POSITIONS crystal
Pu 0.500 0.500 0.500
V 0.000 0.000 0.800
V 0.000 0.000 0.200
Fe 0.500 0.500 0.000
CELL_PARAMETERS angstrom
2.819 0.000 0.000
0.000 2.819 0.000
0.000 0.000 7.346
```


# 3
First-principles (PBE-GGA) data for a geometry-optimized Y3SbPb structure, as listed in Alexandria. Values from VASP.

* uncorrected formation energy: -60.0 kJ per mole of atoms
* energy above the lowest structure with this stoichiometry: 0.000 eV/atom
* D(E_F): 6.23 states/eV/f.u.
* VASP energy: -6.066 eV per atom

Cell and atoms, written as Quantum ESPRESSO input:
```
&SYSTEM
  ibrav = 0, nat = 10, ntyp = 3
/
ATOMIC_SPECIES
Y 88.91 Y.upf
Sb 121.76 Sb.upf
Pb 207.20 Pb.upf
ATOMIC_POSITIONS crystal
Y 0.681 0.631 0.431
Y 0.803 0.348 0.053
Y 0.319 0.369 0.569
Y 0.197 0.652 0.947
Y 0.904 0.993 0.154
Y 0.096 0.007 0.846
Sb 0.972 0.701 0.222
Sb 0.028 0.299 0.778
Pb 0.519 0.256 0.269
Pb 0.481 0.744 0.731
CELL_PARAMETERS angstrom
4.247 0.576 -0.822
-1.272 9.502 0.078
-2.299 -3.960 8.519
```


# 4
First-principles (PBE-GGA) data for a geometry-optimized ScTeIN2 structure, as listed in Alexandria. Values from VASP.

* uncorrected formation energy: 76.3 kJ per mole of atoms
* energy above the lowest structure with this stoichiometry: 0.085 eV/atom
* D(E_F): 3.35 states/eV/f.u.
* VASP energy: -4.744 eV per atom

Cell and atoms, written as Quantum ESPRESSO input:
```
&SYSTEM
  ibrav = 0, nat = 5, ntyp = 4
/
ATOMIC_SPECIES
N 14.01 N.upf
Te 127.60 Te.upf
Sc 44.96 Sc.upf
I 126.90 I.upf
ATOMIC_POSITIONS crystal
N 0.000 0.500 0.000
N 0.500 0.000 0.000
Te 0.500 0.500 0.500
Sc 0.000 0.000 0.000
I 0.000 0.000 0.500
CELL_PARAMETERS angstrom
-2.435 -3.099 1.958
3.643 -2.308 0.876
0.570 2.928 5.342
```


# 5
First-principles (PBE-GGA) data for a geometry-optimized AcCe2UO8 structure, as listed in Alexandria. Values from VASP.

* uncorrected formation energy: -329.4 kJ per mole of atoms
* D(E_F): 8.45 states/eV/f.u.
* VASP energy: -8.992 eV per atom

Cell and atoms, written as Quantum ESPRESSO input:
```
&SYSTEM
  ibrav = 0, nat = 12, ntyp = 4
/
ATOMIC_SPECIES
O 16.00 O.upf
Ce 140.12 Ce.upf
Ac 227.00 Ac.upf
U 238.03 U.upf
ATOMIC_POSITIONS crystal
O 0.500 0.767 0.000
O 0.000 0.247 0.782
O 0.000 0.753 0.782
O 0.000 0.247 0.218
O 0.500 0.233 0.000
O 0.500 0.730 0.500
O 0.000 0.753 0.218
O 0.500 0.270 0.500
Ce 0.500 0.500 0.754
Ce 0.500 0.500 0.246
Ac 0.000 0.000 0.500
U 0.000 0.000 0.000
CELL_PARAMETERS angstrom
-3.420 2.088 0.432
-1.755 -1.860 -4.919
-3.250 -6.037 3.442
```


# 6
First-principles (PBE-GGA) data for a geometry-optimized CaPbCl structure, as listed in Alexandria. Values from VASP.

* uncorrected formation energy: -103.7 kJ per mole of atoms
* energy above the lowest structure with this stoichiometry: 0.105 eV/atom
* D(E_F): 2.43 states/eV/f.u.
* VASP energy: -3.593 eV per atom

Cell and atoms, written as Quantum ESPRESSO input:
```
&SYSTEM
  ibrav = 0, nat = 3, ntyp = 3
/
ATOMIC_SPECIES
Pb 207.20 Pb.upf
Cl 35.45 Cl.upf
Ca 40.08 Ca.upf
ATOMIC_POSITIONS crystal
Pb 0.640 0.640 0.360
Cl 0.387 0.387 0.613
Ca 0.973 0.973 0.027
CELL_PARAMETERS angstrom
8.307 0.021 -0.022
7.565 3.432 -0.018
0.742 0.158 3.408
```


# 7
First-principles (PBE-GGA) data for a geometry-optimized TbZnGaPt2 structure, as listed in Alexandria. Values from VASP.

* calculated formation energy: -85.06 kJ per mole of atoms
* D(E_F): 2.44 states/eV/f.u.
* VASP energy: -5.084 eV per atom

Cell and atoms, written as Quantum ESPRESSO input:
```
&SYSTEM
  ibrav = 0, nat = 5, ntyp = 4
/
ATOMIC_SPECIES
Tb 158.93 Tb.upf
Zn 65.41 Zn.upf
Pt 195.08 Pt.upf
Ga 69.72 Ga.upf
ATOMIC_POSITIONS crystal
Tb 0.000 0.000 0.000
Zn 0.250 0.750 0.500
Pt 0.610 0.610 0.220
Pt 0.390 0.390 0.780
Ga 0.750 0.250 0.500
CELL_PARAMETERS angstrom
3.901 0.000 0.000
0.000 3.901 0.000
-1.951 -1.951 6.161
```


# 8
First-principles (PBE-GGA) data for a geometry-optimized MnFe3Te structure, as listed in Alexandria. Values from VASP.

* uncorrected formation energy: 100.8 kJ per mole of atoms
* energy above the lowest structure with this stoichiometry: 0.000 eV/atom
* D(E_F): 9.41 states/eV/f.u.
* VASP energy: -6.495 eV per atom

Cell and atoms, written as Quantum ESPRESSO input:
```
&SYSTEM
  ibrav = 0, nat = 5, ntyp = 3
/
ATOMIC_SPECIES
Fe 55.84 Fe.upf
Te 127.60 Te.upf
Mn 54.94 Mn.upf
ATOMIC_POSITIONS crystal
Fe 0.500 0.000 0.000
Fe 0.000 0.500 0.000
Fe 0.000 0.000 0.500
Te 0.500 0.500 0.500
Mn 0.000 0.000 0.000
CELL_PARAMETERS angstrom
-3.588 2.404 0.349
-1.716 -2.067 -3.399
-1.720 -2.953 2.664
```